# 1
Density functional theory data (PBE-GGA) for a relaxed Ni2GePt crystal.

Computed properties:
The formation energy from the elements comes out at 0.04 eV per atom. For the size of the total moment, the calculation gives 0.000 Bohr magnetons per cell. The volume is 57 Å³/f.u.

a = 3.6272 Å, b = 3.6272 Å, c = 17.4124 Å
α = 90.00°, β = 90.00°, γ = 90.00°
Space group I-42d (No. 122)
Unique sites:
Ni1 0.2389 0.2500 0.1250 [8 per cell]
Ge1 0.0000 0.0000 0.0000 [4 per cell]
Pt1 0.0000 0.0000 0.5000 [4 per cell]

# 2
Density functional theory data (PBE-GGA) for a relaxed Ni2GePt6 crystal.

Computed properties:
The formation energy from the elements comes out at -0.17 eV per atom. For the size of the total moment, the calculation gives 1.431 Bohr magnetons per cell. The volume is 132 Å³/f.u.

a = 8.5731 Å, b = 3.9160 Å, c = 8.0913 Å
α = 90.00°, β = 104.37°, γ = 90.00°
Space group C2/m (No. 12)
Unique sites:
Ni1 0.1836 0.0000 0.2345 [4 per cell]
Ge1 0.0000 0.5000 0.0000 [2 per cell]
Pt1 0.0077 0.5000 0.3183 [4 per cell]
Pt2 0.1559 0.0000 0.9013 [4 per cell]
Pt3 0.1634 0.0000 0.5549 [4 per cell]

# 3
Density functional theory data (PBE-GGA) for a relaxed NiGe2Pt crystal.

Computed properties:
The formation energy from the elements comes out at -0.15 eV per atom. For the size of the total moment, the calculation gives 0.000 Bohr magnetons per cell. Its distance to the lowest polymorph of the same formula is 0.37 kcal/mol of atoms. The volume is 64 Å³/f.u.

a = 3.4993 Å, b = 3.4993 Å, c = 18.2361 Å
α = 90.00°, β = 90.00°, γ = 120.00°
Space group R3m (No. 160, hexagonal axes)
Unique sites:
Ni1 0.0000 0.0000 0.0000 [3 per cell]
Ge1 0.0000 0.0000 0.4161 [3 per cell]
Ge2 0.0000 0.0000 0.5957 [3 per cell]
Pt1 0.0000 0.0000 0.8442 [3 per cell]

# 4
Density functional theory data (PBE-GGA) for a relaxed NiGe7Pt4 crystal.

Computed properties:
The formation energy from the elements comes out at -0.28 eV per atom. For the size of the total moment, the calculation gives 0.000 Bohr magnetons per cell. The volume is 210 Å³/f.u.

a = 11.4575 Å, b = 3.7722 Å, c = 9.9568 Å
α = 90.00°, β = 102.23°, γ = 90.00°
Space group Cm (No. 8)
Unique sites:
Ni1 0.0000 0.0000 0.0000 [2 per cell]
Ge1 0.0080 0.0000 0.6386 [2 per cell]
Ge2 0.1258 0.5000 0.9726 [2 per cell]
Ge3 0.1636 0.0000 0.1966 [2 per cell]
Ge4 0.2337 0.5000 0.4378 [2 per cell]
Ge5 0.3378 0.5000 0.7959 [2 per cell]
Ge6 0.3748 0.0000 0.0359 [2 per cell]
Ge7 0.4299 0.0000 0.3885 [2 per cell]
Pt1 0.0799 0.0000 0.4116 [2 per cell]
Pt2 0.1905 0.0000 0.8290 [2 per cell]
Pt3 0.3268 0.5000 0.2110 [2 per cell]
Pt4 0.3401 0.0000 0.6042 [2 per cell]

# 5
Density functional theory data (PBE-GGA) for a relaxed Ni4GePt2 crystal.

Computed properties:
The formation energy from the elements comes out at -0.15 eV per atom. For the size of the total moment, the calculation gives 1.632 Bohr magnetons per cell. Its distance to the lowest polymorph of the same formula is 0.00 kcal/mol of atoms. The volume is 90 Å³/f.u.

a = 5.3401 Å, b = 5.7733 Å, c = 6.4485 Å
α = 68.76°, β = 87.50°, γ = 76.32°
Space group P1 (No. 1)
Unique sites:
Ni1 0.0000 0.0000 0.0000 [1 per cell]
Ni2 0.0329 0.6904 0.4633 [1 per cell]
Ni3 0.1080 0.4281 0.8729 [1 per cell]
Ni4 0.1766 0.1277 0.3037 [1 per cell]
Ni5 0.3803 0.2500 0.6125 [1 per cell]
Ni6 0.5216 0.6984 0.4663 [1 per cell]
Ni7 0.7437 0.8554 0.7398 [1 per cell]
Ni8 0.8983 0.2778 0.5875 [1 per cell]
Ge1 0.2148 0.8538 0.7040 [1 per cell]
Ge2 0.4637 0.0033 0.0307 [1 per cell]
Pt1 0.3202 0.5636 0.1758 [1 per cell]
Pt2 0.6208 0.4124 0.8685 [1 per cell]
Pt3 0.6890 0.1123 0.3219 [1 per cell]
Pt4 0.8213 0.5820 0.1653 [1 per cell]

# 6
Density functional theory data (PBE-GGA) for a relaxed Ni8Ge2Pt crystal.

Computed properties:
The formation energy from the elements comes out at -0.17 eV per atom. For the size of the total moment, the calculation gives 0.000 Bohr magnetons per cell. Its distance to the lowest polymorph of the same formula is 0.00 kcal/mol of atoms. The volume is 135 Å³/f.u.

a = 3.7211 Å, b = 6.5179 Å, c = 11.0953 Å
α = 90.00°, β = 90.00°, γ = 90.00°
Space group Immm (No. 71)
Unique sites:
Ni1 0.0000 0.0000 0.1578 [4 per cell]
Ni2 0.0000 0.2263 0.3390 [8 per cell]
Ni3 0.0000 0.2924 0.0000 [4 per cell]
Ge1 0.0000 0.5000 0.1844 [4 per cell]
Pt1 0.0000 0.5000 0.5000 [2 per cell]